(1)
## Pr3Cu5H12 (GGA-PBE)

Data for Pr3Cu5H12 after structural relaxation.

```
Pr3Cu5H12
1.0
10.3399 0.0000 0.0000
-3.4466 9.7485 0.0000
-3.4466 -4.8743 8.4425
H Cu Pr
48 20 12
Cartesian
-2.1653 5.7181 6.8057 H
5.3064 2.8762 3.2855 H
-1.2813 -0.5977 4.1336 H
-3.0046 4.2766 4.3089 H
-0.6373 6.2583 0.7011 H
2.1653 1.4415 2.6721 H
4.5326 4.7894 1.5492 H
1.2813 3.4328 5.7704 H
4.0839 -1.3840 7.7414 H
6.7568 1.0299 0.0876 H
1.0860 1.3840 7.7414 H
4.3895 -0.9519 4.9224 H
3.3102 1.8463 5.0693 H
4.0839 1.2992 7.5944 H
1.8597 -1.8463 5.0693 H
2.3606 6.1735 0.8481 H
0.4420 6.3158 5.7704 H
-0.9429 5.8262 3.5201 H
7.0297 -1.9981 5.1570 H
-1.8597 1.9981 5.1570 H
5.3064 8.7187 0.0876 H
0.7804 0.9519 4.9224 H
-0.6373 3.5751 0.8481 H
3.8886 4.0305 6.8057 H
4.7279 5.4720 4.3089 H
-3.3102 3.8444 8.3548 H
-0.7804 3.5245 7.5068 H
1.5869 6.7206 3.3732 H
2.6662 3.9224 3.5201 H
1.0860 -1.2992 7.5944 H
7.8361 2.3017 2.5844 H
-4.0839 -0.0848 6.8933 H
-2.5037 8.3987 0.9357 H
2.3606 3.4902 0.7011 H
3.0046 -1.4415 2.6721 H
-4.3895 2.5726 5.8581 H
5.6119 -0.8438 1.6368 H
-1.0860 0.0848 6.8933 H
6.4513 0.5977 4.1336 H
0.1364 3.0280 3.3732 H
-0.7804 -2.5726 5.8581 H
4.2271 7.4469 2.5844 H
5.9504 -3.5245 7.5068 H
-0.4420 0.8438 1.6368 H
4.2271 1.3498 0.9357 H
-1.8597 -3.8444 8.3548 H
-3.5830 6.8724 3.2855 H
7.5306 4.9591 1.5492 H
0.8617 3.0464 7.3872 Cu
4.3083 2.4371 6.3319 Cu
3.4466 4.8743 0.0000 Cu
0.8617 -2.4371 6.3319 Cu
4.3083 4.2650 3.1659 Cu
-0.8617 0.6093 5.2766 Cu
4.3083 -3.0464 7.3872 Cu
-2.5850 5.4836 3.1659 Cu
1.7233 2.4371 4.2212 Cu
-0.8617 7.9207 1.0553 Cu
2.5850 7.3114 2.1106 Cu
6.0316 -0.6093 5.2766 Cu
2.5850 1.8279 1.0553 Cu
0.0000 0.0000 0.0000 Cu
-3.4466 2.4371 4.2212 Cu
3.4466 -2.4371 4.2212 Cu
-0.8617 2.4371 2.1106 Cu
-1.7233 -2.4371 4.2212 Cu
-1.7233 4.8743 0.0000 Cu
5.1699 0.0000 0.0000 Cu
-0.8617 4.2650 5.2766 Pr
-2.5850 -1.8279 7.3872 Pr
0.8617 4.8743 2.1106 Pr
7.7549 0.0000 2.1106 Pr
6.0316 3.0464 1.0553 Pr
6.0316 6.7021 1.0553 Pr
0.8617 -0.6093 3.1659 Pr
-2.5850 1.8279 7.3872 Pr
4.3083 0.6093 3.1659 Pr
2.5850 0.0000 6.3319 Pr
2.5850 5.4836 5.2766 Pr
-4.3083 4.8743 6.3319 Pr
```

Its space group is Ia-3d, No. 230.

=====

(2)
## NdPaNiPd (GGA-PBE)

Data for NdPaNiPd after structural relaxation.

```
NdPaNiPd
1.0
-3.0822 3.7512 -0.9669
-4.3006 -0.8590 -2.2963
-4.2596 0.4081 2.4890
Pa Nd Ni Pd
1 1 1 1
Cartesian
0.0000 0.0000 0.0000 Pa
-5.8212 1.6501 -0.3871 Nd
-8.7318 2.4751 -0.5807 Ni
-2.9106 0.8250 -0.1936 Pd
```

The energy of formation is -0.99 eV/f.u. Its space group is F-43m, No. 216.

=====

(3)
## Zr2UW (GGA-PBE)

Data for Zr2UW after structural relaxation.

```
Zr2UW
1.0
2.9479 0.0000 0.0000
1.4739 2.5529 0.0000
1.4739 0.8510 11.3806
Zr W U
2 1 1
Cartesian
4.4218 2.5529 2.7657 Zr
1.4739 0.8510 8.6148 Zr
0.0000 0.0000 0.0000 W
2.9479 1.7019 5.6903 U
```

The energy of formation is 2.48 eV/f.u. Its space group is R-3m, No. 166.

=====

Total DFT energy (no corrections), record by record: -314.887 -26.228 -38.861 eV per cell